Record 1
DFT (GGA-PBE) results for an optimized crystal structure of TlP2BrCl.

Geometry as POSCAR:
```
TlP2BrCl
1.0
5.339 0.000 0.000
0.000 5.339 0.000
0.000 0.000 5.250
P Tl Br Cl
2 1 1 1
Cartesian
0.000 2.670 0.000 P
2.670 0.000 0.000 P
0.000 0.000 0.000 Tl
2.670 2.670 2.625 Br
0.000 0.000 2.625 Cl
```

Properties
Crystal system: tetragonal
Space group: P4/mmm, No. 123

Record 2
DFT (GGA-PBE) results for an optimized crystal structure of TlP2BrCl.

Geometry as POSCAR:
```
TlP2BrCl
1.0
-0.549 -4.599 1.164
4.733 -0.452 0.448
-0.478 1.793 6.857
P Tl Br Cl
2 1 1 1
Cartesian
2.367 -0.226 0.224 P
-0.275 -2.300 0.582 P
1.853 -1.629 4.235 Tl
0.000 0.000 0.000 Br
-0.239 0.897 3.428 Cl
```

Properties
Crystal system: tetragonal
Space group: P4/mmm, No. 123

Record 3
DFT (GGA-PBE) results for an optimized crystal structure of TlPBrCl2.

Geometry as POSCAR:
```
TlPBrCl2
1.0
-0.776 4.068 -2.996
-3.031 2.050 3.569
4.591 2.633 2.387
P Tl Br Cl
1 1 1 2
Cartesian
2.296 1.317 1.193 P
0.000 0.000 0.000 Tl
0.392 4.376 1.480 Br
-1.515 1.025 1.784 Cl
-0.388 2.034 -1.498 Cl
```

Properties
Crystal system: tetragonal
Space group: P4/mmm, No. 123

Record 4
DFT (GGA-PBE) results for an optimized crystal structure of TlPBrCl2.

Geometry as POSCAR:
```
TlPBrCl2
1.0
-1.054 1.282 5.827
-1.454 -5.794 1.011
4.408 -0.931 1.003
P Tl Br Cl
1 1 1 2
Cartesian
2.204 -0.466 0.501 P
0.949 -2.722 3.920 Tl
0.000 0.000 0.000 Br
-0.727 -2.897 0.506 Cl
-0.527 0.641 2.914 Cl
```

Properties
Crystal system: tetragonal
Space group: P4/mmm, No. 123

Record 5
DFT (GGA-PBE) results for an optimized crystal structure of VPBrCl2.

Geometry as POSCAR:
```
VPBrCl2
1.0
-0.839 2.544 3.632
-2.256 -3.428 1.879
4.289 -1.647 2.145
P Cl Br V
1 2 1 1
Cartesian
2.145 -0.823 1.072 P
-1.128 -1.714 0.940 Cl
-0.420 1.272 1.816 Cl
0.597 -1.265 3.828 Br
0.000 0.000 0.000 V
```

Properties
Crystal system: tetragonal
Space group: P4/mmm, No. 123

Record 6
DFT (GGA-PBE) results for an optimized crystal structure of VP2BrCl.

Geometry as POSCAR:
```
VP2BrCl
1.0
-4.131 -2.160 -1.422
2.102 -4.366 0.524
-1.497 -0.168 4.605
P Cl Br V
2 1 1 1
Cartesian
1.051 -2.183 0.262 P
-2.066 -1.080 -0.711 P
-0.749 -0.084 2.303 Cl
0.000 0.000 0.000 Br
-1.763 -3.347 1.854 V
```

Properties
Crystal system: tetragonal
Space group: P4/mmm, No. 123

Record 7
DFT (GGA-PBE) results for an optimized crystal structure of VP2BrCl.

Geometry as POSCAR:
```
VP2BrCl
1.0
4.663 0.000 0.000
0.000 4.663 0.000
0.000 0.000 4.603
P Cl Br V
2 1 1 1
Cartesian
0.000 2.331 0.000 P
2.331 0.000 0.000 P
0.000 0.000 2.301 Cl
2.331 2.331 2.301 Br
0.000 0.000 0.000 V
```

Properties
Crystal system: tetragonal
Space group: P4/mmm, No. 123

Record 8
DFT (GGA-PBE) results for an optimized crystal structure of VPBrCl2.

Geometry as POSCAR:
```
VPBrCl2
1.0
-1.541 3.992 2.526
0.470 -2.515 4.260
4.920 1.632 0.421
P Cl Br V
1 2 1 1
Cartesian
2.460 0.816 0.210 P
0.235 -1.257 2.130 Cl
-0.770 1.996 1.263 Cl
0.000 0.000 0.000 Br
1.924 1.555 3.604 V
```

Properties
Crystal system: tetragonal
Space group: P4/mmm, No. 123

Record 9
DFT (GGA-PBE) results for an optimized crystal structure of P2WBrCl.

Geometry as POSCAR:
```
P2WBrCl
1.0
4.870 0.000 0.000
0.000 4.870 0.000
0.000 0.000 4.766
P Br W Cl
2 1 1 1
Cartesian
0.000 2.435 0.000 P
2.435 0.000 0.000 P
0.000 0.000 0.000 Br
2.435 2.435 2.383 W
0.000 0.000 2.383 Cl
```

Properties
Crystal system: tetragonal
Space group: P4/mmm, No. 123

Record 10
DFT (GGA-PBE) results for an optimized crystal structure of PWBrCl2.

Geometry as POSCAR:
```
PWBrCl2
1.0
-2.083 1.535 -3.944
0.386 -4.309 -1.881
-4.362 -1.194 1.839
P Br W Cl
1 1 1 2
Cartesian
-2.181 -0.597 0.920 P
-3.029 -1.984 -1.993 Br
0.000 0.000 0.000 W
0.193 -2.154 -0.941 Cl
-1.042 0.768 -1.972 Cl
```

Properties
Crystal system: tetragonal
Space group: P4/mmm, No. 123

Record 11
DFT (GGA-PBE) results for an optimized crystal structure of PWBrCl2.

Geometry as POSCAR:
```
PWBrCl2
1.0
-0.763 4.804 -0.918
-4.836 -0.880 -0.583
-0.771 0.855 5.113
P Br W Cl
1 1 1 2
Cartesian
-0.386 0.427 2.556 P
0.000 0.000 0.000 Br
-3.185 2.389 1.806 W
-2.418 -0.440 -0.291 Cl
-0.382 2.402 -0.459 Cl
```

Properties
Crystal system: tetragonal
Space group: P4/mmm, No. 123

Record 12
DFT (GGA-PBE) results for an optimized crystal structure of PWBr2Cl.

Geometry as POSCAR:
```
PWBr2Cl
1.0
-4.407 -0.256 -2.736
1.891 -3.440 -2.725
-1.823 -3.596 3.274
P Br W Cl
1 2 1 1
Cartesian
0.000 0.000 0.000 P
-0.912 -1.798 1.637 Br
-2.204 -0.128 -1.368 Br
-2.170 -3.646 -1.093 W
0.946 -1.720 -1.362 Cl
```

Properties
Crystal system: tetragonal
Space group: P4/mmm, No. 123

Energy per entry: -0.1785, -0.1920, -0.1693, -0.1747, -0.3058, -0.2309, -0.3361, -0.1988, -0.2580, -0.3409, -0.2220, -0.2570 Ry per atom